# 1
Cs2IrSe: relaxed, PBE.

Summary:
The calculation puts the volume at 639 Å³/cell. The formation energy without anion corrections is 0.663 eV per atom. As for the density of states at the Fermi level: 53.37 states/eV per cell. The value obtained for the magnetic moment is 0.750 μB/atom.

a b c (Å): 8.6151 8.6151 8.6151
angles (deg): 90.00 90.00 90.00
Fractional positions:
Cs  0.2500  0.2500  0.2500
Cs  0.2500  0.2500  0.7500
Cs  0.2500  0.7500  0.2500
Cs  0.2500  0.7500  0.7500
Cs  0.7500  0.2500  0.2500
Cs  0.7500  0.2500  0.7500
Cs  0.7500  0.7500  0.2500
Cs  0.7500  0.7500  0.7500
Ir  0.0000  0.0000  0.0000
Ir  0.0000  0.5000  0.5000
Ir  0.5000  0.0000  0.5000
Ir  0.5000  0.5000  0.0000
Se  0.0000  0.0000  0.5000
Se  0.0000  0.5000  0.0000
Se  0.5000  0.0000  0.0000
Se  0.5000  0.5000  0.5000

***

# 2
Zr2ScS6: relaxed, PBE.

Summary:
The calculation puts the volume at 200 Å³/cell. The formation energy without anion corrections is -1.324 eV per atom. As for the density of states at the Fermi level: 3.66 states/eV per cell. The value obtained for the magnetic moment is 0.000 μB/atom.

a b c (Å): 6.6448 6.6448 8.3452
angles (deg): 126.42 126.42 45.21
Fractional positions:
Zr  0.1651  0.1651  0.0710
Zr  0.8349  0.8349  0.9290
Sc  0.0000  0.0000  0.5000
S  0.0780  0.0780  0.2715
S  0.2695  0.2695  0.8751
S  0.4017  0.4017  0.4718
S  0.5983  0.5983  0.5282
S  0.7305  0.7305  0.1249
S  0.9220  0.9220  0.7285

***

# 3
Sn2HAuI: relaxed, PBE.

Summary:
The calculation puts the volume at 196 Å³/cell. The value obtained for the total energy is -2.01 eV/atom. As for the density of states at the Fermi level: 3.39 states/eV per cell. The value obtained for the magnetic moment is 0.126 μB/atom.

a b c (Å): 6.0272 6.0272 5.3956
angles (deg): 90.00 90.00 90.00
Fractional positions:
Sn  0.0000  0.5000  0.0000
Sn  0.5000  0.0000  0.0000
H  0.0000  0.0000  0.5000
Au  0.5000  0.5000  0.5000
I  0.5000  0.5000  0.0000